# ScCu4Si2 PBE optimized geometry
data_ScCu4Si2
_space_group_name_H-M_alt 'P 1'
_space_group_IT_number 1
_cell_length_a 4.671
_cell_length_b 4.671
_cell_length_c 6.942
_cell_angle_alpha 70.34
_cell_angle_beta 70.34
_cell_angle_gamma 90.00
loop_
_space_group_symop_operation_xyz
'x,y,z'
loop_
_atom_site_label
_atom_site_fract_x
_atom_site_fract_y
_atom_site_fract_z
Cu1 0.000 0.500 0.000
Cu2 0.785 0.785 0.429
Cu3 0.215 0.215 0.571
Cu4 0.500 0.000 0.000
Sc1 0.000 0.000 0.000
Si1 0.600 0.600 0.801
Si2 0.400 0.400 0.199
# **Excess energy over the best structure of this formula in the dataset**: 1118 meV/atom
# **Uncorrected formation energy**: 0.77 eV per atom
# **Size of the total moment**: 0.0 μB/f.u.
# **DFT total energy**: -4.026 eV/atom

=====

# Sc3SnPd6 PBE optimized geometry
data_Sc3SnPd6
_space_group_name_H-M_alt 'P 1'
_space_group_IT_number 1
_cell_length_a 5.081
_cell_length_b 8.634
_cell_length_c 8.634
_cell_angle_alpha 105.70
_cell_angle_beta 90.00
_cell_angle_gamma 90.00
loop_
_space_group_symop_operation_xyz
'x,y,z'
loop_
_atom_site_label
_atom_site_fract_x
_atom_site_fract_y
_atom_site_fract_z
Pd1 0.906 0.979 0.550
Pd2 0.089 0.689 0.581
Pd3 0.406 0.550 0.979
Pd4 0.906 0.450 0.021
Pd5 0.406 0.021 0.450
Pd6 0.274 0.980 0.020
Pd7 0.589 0.311 0.419
Pd8 0.589 0.581 0.689
Pd9 0.774 0.020 0.980
Pd10 0.089 0.419 0.311
Pd11 0.075 0.744 0.256
Pd12 0.575 0.256 0.744
Sc1 0.481 0.292 0.099
Sc2 0.481 0.901 0.708
Sc3 0.981 0.708 0.901
Sc4 0.981 0.099 0.292
Sc5 0.604 0.613 0.387
Sc6 0.104 0.387 0.613
Sn1 0.580 0.826 0.174
Sn2 0.080 0.174 0.826
# **Size of the total moment**: 0.0 μB/f.u.
# **DFT total energy**: -6.092 eV/atom

=====

# Pr3NdI8 PBE optimized geometry
data_Pr3NdI8
_space_group_name_H-M_alt 'P 1'
_space_group_IT_number 1
_cell_length_a 8.524
_cell_length_b 8.510
_cell_length_c 9.583
_cell_angle_alpha 116.47
_cell_angle_beta 90.00
_cell_angle_gamma 120.05
loop_
_space_group_symop_operation_xyz
'x,y,z'
loop_
_atom_site_label
_atom_site_fract_x
_atom_site_fract_y
_atom_site_fract_z
I1 0.751 0.502 0.252
I2 0.249 0.498 0.748
I3 0.250 0.499 0.251
I4 0.750 0.501 0.749
I5 0.250 0.002 0.251
I6 0.750 0.998 0.749
I7 0.753 0.002 0.251
I8 0.247 0.998 0.749
Pr1 0.500 0.500 0.000
Pr2 0.000 0.500 0.000
Pr3 0.500 0.000 0.000
Nd1 0.000 0.000 0.000
# **Uncorrected formation energy**: -1.30 eV per atom
# **Size of the total moment**: 0.0 μB/f.u.
# **DFT total energy**: -3.927 eV/atom

=====

# SrScSb2I PBE optimized geometry
data_SrScSb2I
_space_group_name_H-M_alt 'P 1'
_space_group_IT_number 1
_cell_length_a 5.988
_cell_length_b 5.988
_cell_length_c 5.945
_cell_angle_alpha 90.00
_cell_angle_beta 90.00
_cell_angle_gamma 90.00
loop_
_space_group_symop_operation_xyz
'x,y,z'
loop_
_atom_site_label
_atom_site_fract_x
_atom_site_fract_y
_atom_site_fract_z
Sb1 0.500 0.000 0.000
Sb2 0.000 0.500 0.000
Sr1 0.000 0.000 0.000
I1 0.000 0.000 0.500
Sc1 0.500 0.500 0.500
# **Excess energy over the best structure of this formula in the dataset**: 1058 meV/atom
# **Uncorrected formation energy**: 0.43 eV per atom
# **Size of the total moment**: 0.0 μB/f.u.
# **DFT total energy**: -3.136 eV/atom

=====

# La2AgGeRh PBE optimized geometry
data_La2AgGeRh
_space_group_name_H-M_alt 'P 1'
_space_group_IT_number 1
_cell_length_a 4.590
_cell_length_b 7.405
_cell_length_c 7.968
_cell_angle_alpha 110.89
_cell_angle_beta 90.00
_cell_angle_gamma 90.00
loop_
_space_group_symop_operation_xyz
'x,y,z'
loop_
_atom_site_label
_atom_site_fract_x
_atom_site_fract_y
_atom_site_fract_z
Rh1 0.250 0.891 0.922
Rh2 0.750 0.109 0.078
La1 0.250 0.175 0.363
La2 0.250 0.272 0.936
La3 0.750 0.825 0.637
La4 0.750 0.728 0.064
Ag1 0.750 0.344 0.662
Ag2 0.250 0.656 0.338
Ge1 0.250 0.555 0.710
Ge2 0.750 0.445 0.290
# **Size of the total moment**: 0.0 μB/f.u.
# **DFT total energy**: -5.519 eV/atom

=====

# Y3Si2Rh PBE optimized geometry
data_Y3Si2Rh
_space_group_name_H-M_alt 'P 1'
_space_group_IT_number 1
_cell_length_a 4.182
_cell_length_b 11.248
_cell_length_c 11.548
_cell_angle_alpha 90.00
_cell_angle_beta 90.00
_cell_angle_gamma 90.00
loop_
_space_group_symop_operation_xyz
'x,y,z'
loop_
_atom_site_label
_atom_site_fract_x
_atom_site_fract_y
_atom_site_fract_z
Y1 0.750 0.198 0.285
Y2 0.750 0.625 0.944
Y3 0.250 0.442 0.379
Y4 0.250 0.058 0.879
Y5 0.750 0.302 0.785
Y6 0.750 0.558 0.621
Y7 0.750 0.875 0.444
Y8 0.250 0.802 0.715
Y9 0.250 0.698 0.215
Y10 0.750 0.942 0.121
Y11 0.250 0.125 0.556
Y12 0.250 0.375 0.056
Si1 0.250 0.002 0.308
Si2 0.750 0.187 0.018
Si3 0.250 0.813 0.982
Si4 0.250 0.498 0.808
Si5 0.750 0.313 0.518
Si6 0.750 0.502 0.192
Si7 0.250 0.687 0.482
Si8 0.750 0.998 0.692
Rh1 0.750 0.632 0.370
Rh2 0.250 0.132 0.130
Rh3 0.250 0.368 0.630
Rh4 0.750 0.868 0.870
# **Uncorrected formation energy**: -0.85 eV per atom
# **Size of the total moment**: 0.0 μB/f.u.
# **DFT total energy**: -7.115 eV/atom

=====

Which formula does entry 2 have? Sc3SnPd6